## ZnRe2Hg (PBE)

Data for an optimized crystal structure of ZnRe2Hg.

a = 2.736 Å, b = 2.736 Å, c = 9.382 Å
α = 90.00°, β = 90.00°, γ = 112.26°
Fractional positions:
Hg 0.500 0.500 0.750
Re 0.000 0.000 0.017
Re 0.000 0.000 0.483
Zn 0.500 0.500 0.250

Computed properties:
Space-group type = Cmmm
Offset from the most stable computed form = 0.411 eV/atom
Formation energy = 2.67 eV per formula unit
DOS at the Fermi energy = 1.94 states/eV/f.u.
DFT total energy = -0.437 Ry per atom